The following is a meta-GGA SCAN calculation of a crystal of SiHgTe2N relaxed with PBEsol, from Alexandria via LeMat-Bulk.

```
SiHgTe2N
1.0
3.2837 0.0000 0.0000
0.0000 5.6533 0.0000
0.0000 0.0000 5.6533
Si Te Hg N
1 2 1 1
direct
0.0000 0.0000 0.0000
0.0000 0.0000 0.5000
0.0000 0.5000 0.0000
0.5000 0.5000 0.5000
0.5000 0.0000 0.0000
```

Computed properties:
uncorrected formation energy	0.993	eV/f.u.
space-group type	P4/mmm (123)